Entry 1:
Below is a geometry-optimized AcTbCe2Sb4 structure, with properties calculated at the PBE level.

abc: 7.892 4.557 7.899
angles: 90.00 109.43 90.00
Fractional coordinates of all 8 atoms:
Ac 0.000 0.000 0.000
Tb 0.000 0.500 0.500
Ce 0.500 0.000 0.500
Ce 0.500 0.500 0.000
Sb 0.252 0.000 0.740
Sb 0.261 0.500 0.265
Sb 0.739 0.500 0.735
Sb 0.748 0.000 0.260

Summary:
Space-group type   P2/m
Formation energy (no corrections)   -25.09 kcal/mol of atoms
Density   7.147 g/cm3

Entry 2:
Below is a geometry-optimized Ac2CeSb2Te2 structure, with properties calculated at the PBE level.

abc: 9.264 9.264 9.264
angles: 143.36 143.36 52.78
Fractional coordinates of all 7 atoms:
Ac 0.123 0.123 0.000
Ac 0.877 0.877 0.000
Ce 0.500 0.500 0.000
Sb 0.000 0.500 0.500
Sb 0.500 0.000 0.500
Te 0.315 0.315 0.000
Te 0.685 0.685 0.000

Summary:
Space-group type   I4/mmm
Formation energy (no corrections)   -22.73 kcal/mol of atoms
Density   6.449 g/cm3

Entry 3:
Below is a geometry-optimized Ac4CeTh3Sb8 structure, with properties calculated at the PBE level.

abc: 9.317 9.317 9.317
angles: 59.69 59.69 59.69
Fractional coordinates of all 16 atoms:
Ac 0.000 0.000 0.000
Ac 0.000 0.500 0.500
Ac 0.500 0.000 0.500
Ac 0.500 0.500 0.000
Ce 0.500 0.500 0.500
Th 0.000 0.000 0.500
Th 0.000 0.500 0.000
Th 0.500 0.000 0.000
Sb 0.243 0.744 0.744
Sb 0.244 0.244 0.244
Sb 0.256 0.256 0.757
Sb 0.256 0.757 0.256
Sb 0.744 0.243 0.744
Sb 0.744 0.744 0.243
Sb 0.756 0.756 0.756
Sb 0.757 0.256 0.256

Summary:
Space-group type   R-3m
Formation energy (no corrections)   -24.97 kcal/mol of atoms
Density   7.951 g/cm3